1.
DFT (PBE) results for an optimized crystal structure of Mn2AsAu.

Values from the calculation:
The calculation puts the density of states at the Fermi level at 5.5 states/eV per cell. Its formation energy is 0.353 eV/atom.

Cell lengths 4.4841, 4.4841, 4.4841 Å; angles 60.00, 60.00, 60.00 degrees
Last column: nearest neighbours and their distance in Å.
Element x y z (fractional)
Au1 0.7500 0.7500 0.7500  4 Mn 2.75, 4 As 2.75
Mn1 0.0000 0.0000 0.0000  4 Mn 2.75, 4 Au 2.75
Mn2 0.2500 0.2500 0.2500  4 As 2.75, 4 Mn 2.75
As1 0.5000 0.5000 0.5000  4 Au 2.75, 4 Mn 2.75

---

2.
DFT (PBE) results for an optimized crystal structure of MnAs2Au.

Values from the calculation:
The calculation puts the density of states at the Fermi level at 1.9 states/eV per cell. The calculation puts the energy above the most stable polymorph in this dataset at 0.0247 eV per atom. Its formation energy is 0.070 eV/atom.

Cell lengths 3.8119, 6.5908, 5.3263 Å; angles 34.68, 90.00, 90.00 degrees
Last column: nearest neighbours and their distance in Å.
Element x y z (fractional)
As1 0.0000 0.0000 0.0000  2 Mn 2.66, 4 Au 2.67
As2 0.5000 0.5000 0.0000  2 Au 2.66, 4 Mn 2.67
Au1 0.5000 0.5000 0.5000  6 As 2.66-2.67
Mn1 0.0000 0.0000 0.5000  6 As 2.66-2.67